U3AsC: relaxed, PBE.

Cell and atoms, written as CIF:
```
data_U3AsC
_cell_length_a 9.831
_cell_length_b 12.785
_cell_length_c 5.781
_cell_angle_alpha 90.00
_cell_angle_beta 94.49
_cell_angle_gamma 90.00
_space_group_name_H-M_alt 'C 1 2/c 1'
_space_group_IT_number 15
loop_
_space_group_symop_operation_xyz
'x,y,z'
'-x,-y,-z'
'-x,y,-z+1/2'
'x,-y,z+1/2'
'x+1/2,y+1/2,z'
'-x+1/2,-y+1/2,-z'
'-x+1/2,y+1/2,-z+1/2'
'x+1/2,-y+1/2,z+1/2'
loop_
_atom_site_label
_atom_site_fract_x
_atom_site_fract_y
_atom_site_fract_z
_atom_site_occupancy
U1 0.146 0.163 0.081 1
U2 0.151 0.434 0.101 1
U3 0.155 0.300 0.605 1
As1 0.124 0.073 0.544 1
C1 0.000 0.294 0.250 1
C2 0.000 0.434 0.750 1
```

Results
The calculation puts the total energy at -9.878 eV per atom. The calculation puts the formation enthalpy at 0 K at -0.330 eV per atom.


Ta6Mo: relaxed, PBE.

Cell and atoms, written as CIF:
```
data_Ta6Mo
_cell_length_a 4.6824
_cell_length_b 4.6824
_cell_length_c 19.7650
_cell_angle_alpha 90.00
_cell_angle_beta 90.00
_cell_angle_gamma 120.00
_space_group_name_H-M_alt 'R -3 m'
_space_group_IT_number 166
_space_group_name_Hall '-R 3 2"'
loop_
_atom_site_label
_atom_site_fract_x
_atom_site_fract_y
_atom_site_fract_z
_atom_site_occupancy
Ta1 0.0000 0.0000 0.0700 1
Ta2 0.0000 0.0000 0.2130 1
Ta3 0.0000 0.0000 0.3593 1
Mo1 0.0000 0.0000 0.5000 1
```

Results
The calculation puts the total energy at -11.745 eV per atom. The calculation puts the formation enthalpy at 0 K at -0.038 eV per atom.


CaPdS2: relaxed, PBE.

Cell and atoms, written as CIF:
```
data_CaPdS2
_cell_length_a 5.316
_cell_length_b 5.316
_cell_length_c 13.695
_cell_angle_alpha 90.00
_cell_angle_beta 90.00
_cell_angle_gamma 90.00
_space_group_name_H-M_alt 'I -4 2 d'
_space_group_IT_number 122
_space_group_name_Hall 'I -4 2bw'
loop_
_atom_site_label
_atom_site_fract_x
_atom_site_fract_y
_atom_site_fract_z
_atom_site_occupancy
Ca1 0.000 0.000 0.000 1
Pd1 0.000 0.000 0.500 1
S1 0.184 0.250 0.625 1
```

Results
The calculation puts the energy relative to the elements, uncorrected at -3.482 eV/f.u. The calculation puts the total energy at -4.733 eV per atom.


GePb: relaxed, PBE.

Cell and atoms, written as CIF:
```
data_GePb
_cell_length_a 4.5374
_cell_length_b 4.5374
_cell_length_c 7.4316
_cell_angle_alpha 90.00
_cell_angle_beta 90.00
_cell_angle_gamma 120.00
_space_group_name_H-M_alt 'P 63 m c'
_space_group_IT_number 186
_space_group_name_Hall 'P 6c -2c'
loop_
_atom_site_label
_atom_site_fract_x
_atom_site_fract_y
_atom_site_fract_z
_atom_site_occupancy
Ge1 0.3333 0.6667 0.0000 1
Pb1 0.3333 0.6667 0.3761 1
```

Results
The calculation puts the total energy at -3.878 eV per atom. The calculation puts the formation enthalpy at 0 K at 0.285 eV per atom.


Q: Number 1 is which compound?
A: U3AsC


Q: Among the records above, which one has the highest total energy?
A: GePb


Copy entry 4 word for word.
GePb: relaxed, PBE.

Cell and atoms, written as CIF:
```
data_GePb
_cell_length_a 4.5374
_cell_length_b 4.5374
_cell_length_c 7.4316
_cell_angle_alpha 90.00
_cell_angle_beta 90.00
_cell_angle_gamma 120.00
_space_group_name_H-M_alt 'P 63 m c'
_space_group_IT_number 186
_space_group_name_Hall 'P 6c -2c'
loop_
_atom_site_label
_atom_site_fract_x
_atom_site_fract_y
_atom_site_fract_z
_atom_site_occupancy
Ge1 0.3333 0.6667 0.0000 1
Pb1 0.3333 0.6667 0.3761 1
```

Results
The calculation puts the total energy at -3.878 eV per atom. The calculation puts the formation enthalpy at 0 K at 0.285 eV per atom.